! SrIn2Rh PBEsol optimized geometry; values from VASP
! Total DFT energy (no corrections)   -4.4962 eV/atom
! Symmetry   Cmcm
! Energy of formation from the pure elements   -0.510 eV per atom
&SYSTEM
  ibrav = 0, nat = 8, ntyp = 3
/
ATOMIC_SPECIES
Rh 102.91 Rh.upf
In 114.82 In.upf
Sr 87.62 Sr.upf
CELL_PARAMETERS angstrom
-2.982 -2.169 2.280
3.342 -3.549 -3.127
5.083 -0.582 6.093
ATOMIC_POSITIONS angstrom
Rh 3.366 -4.137 4.589
In 6.094 -3.762 4.391
In -0.651 -2.538 0.856
Rh 2.077 -2.163 0.658
In 4.096 -3.533 1.996
Sr 4.037 -0.999 4.329
Sr 1.406 -5.300 0.919
In 1.347 -2.766 3.252

***

! SrTcBr2 PBEsol optimized geometry; values from VASP
! E_form (uncorrected)   -0.1033 eV/atom
! Total DFT energy (no corrections)   -4.3150 eV/atom
! Energy relative to the lowest polymorph listed for this composition   4.74 kJ/mol of atoms
! Symmetry   P4/mmm
&SYSTEM
  ibrav = 0, nat = 4, ntyp = 3
/
ATOMIC_SPECIES
Br 79.90 Br.upf
Sr 87.62 Sr.upf
Tc 98.00 Tc.upf
CELL_PARAMETERS angstrom
3.652 0.000 0.000
0.000 4.977 0.000
0.000 0.000 4.977
ATOMIC_POSITIONS angstrom
Br 0.000 2.489 0.000
Sr 1.826 2.489 2.489
Br 0.000 0.000 2.489
Tc 1.826 0.000 0.000

***

! Ba2Sr2Pd PBEsol optimized geometry; values from VASP
! Total DFT energy (no corrections)   -2.4619 eV/atom
! Symmetry   I4/mmm
! Energy of formation from the pure elements   0.326 eV per atom
&SYSTEM
  ibrav = 0, nat = 5, ntyp = 3
/
ATOMIC_SPECIES
Sr 87.62 Sr.upf
Ba 137.33 Ba.upf
Pd 106.42 Pd.upf
CELL_PARAMETERS angstrom
4.544 0.000 0.000
0.000 4.544 0.000
-2.272 -2.272 10.857
ATOMIC_POSITIONS angstrom
Sr 2.272 0.000 5.428
Sr 0.000 2.272 5.428
Ba 2.272 2.272 1.762
Ba 0.000 0.000 9.095
Pd 0.000 0.000 0.000